Entry 1:
VASP calculation (PBE) on crystalline LiSmGePt3 at its relaxed geometry.

Properties
DOS at the Fermi energy = 0.5621 states/eV per atom
Size of the total moment = 0.0 μB/f.u.
V = 108.8 Å³/f.u.
ΔE_f = -3.854 eV per formula unit

Geometry as extended XYZ:
```
12
Lattice="-1.336 4.307 3.490 -4.844 -3.545 2.519 6.088 -0.365 2.782" Properties=species:S:1:pos:R:3 pbc="T T T"
Li 0.466 -2.575 5.684
Li -0.559 2.971 3.107
Ge -2.463 0.897 4.936
Ge 2.370 -0.501 3.854
Pt -4.164 -0.405 3.563
Pt 0.859 0.381 2.188
Pt -1.348 -0.986 0.701
Pt -3.496 -2.558 1.818
Pt -2.016 1.167 2.446
Pt -0.952 0.016 6.603
Sm -1.273 -1.561 3.767
Sm 1.180 1.957 5.024
```

=====

Entry 2:
VASP calculation (PBE) on crystalline LiSm2GePt6 at its relaxed geometry.

Properties
DOS at the Fermi energy = 0.3288 states/eV per atom
Size of the total moment = 0.0 μB/f.u.
V = 223.9 Å³/f.u.
ΔE_f = -7.204 eV per formula unit

Geometry as extended XYZ:
```
10
Lattice="-6.385 3.004 5.079 2.729 -1.934 4.575 2.181 3.644 3.751" Properties=species:S:1:pos:R:3 pbc="T T T"
Sm 2.520 1.132 5.996
Sm -3.995 3.583 7.409
Pt -2.079 5.373 8.837
Pt -0.714 0.276 2.357
Pt -0.760 4.438 11.048
Pt 0.341 2.038 4.169
Pt -1.815 2.677 9.236
Pt 0.604 -0.659 4.568
Li -1.828 0.535 4.827
Ge 0.000 0.000 0.000
```

=====

Entry 3:
VASP calculation (PBE) on crystalline LiSn2GePt at its relaxed geometry.

Properties
DOS at the Fermi energy = 0.5534 states/eV per atom
Size of the total moment = 0.0 μB/f.u.
V = 106.1 Å³/f.u.
ΔE_f = 1.598 eV per formula unit

Geometry as extended XYZ:
```
5
Lattice="-2.475 0.576 4.182 -0.488 -4.392 0.316 4.187 -0.285 2.517" Properties=species:S:1:pos:R:3 pbc="T T T"
Li 0.000 0.000 0.000
Sn -1.238 0.288 2.091
Sn 2.094 -0.142 1.259
Ge 0.612 -2.050 3.508
Pt -0.244 -2.196 0.158
```

=====

Entry 4:
VASP calculation (PBE) on crystalline Sr2LiGe4Pt3 at its relaxed geometry.

Properties
DOS at the Fermi energy = 0.5044 states/eV per atom
Size of the total moment = 0.0 μB/f.u.
V = 201.5 Å³/f.u.
ΔE_f = -7.436 eV per formula unit

Geometry as extended XYZ:
```
10
Lattice="-3.417 1.793 2.183 -2.788 -1.583 -3.063 -1.062 -8.631 5.427" Properties=species:S:1:pos:R:3 pbc="T T T"
Li -3.633 -4.210 2.274
Ge -2.377 -4.531 4.505
Ge -1.788 -3.995 0.483
Ge -3.102 0.105 -0.440
Ge 0.000 0.000 0.000
Pt -2.639 -6.659 5.843
Pt -0.531 -4.316 2.714
Pt -1.526 -1.867 -0.855
Sr -2.191 -7.269 2.541
Sr -1.974 -1.257 2.446
```

=====

Entry 5:
VASP calculation (PBE) on crystalline SrLiGe2Pt2 at its relaxed geometry.

Properties
DOS at the Fermi energy = 0.4779 states/eV per atom
Size of the total moment = 0.0 μB/f.u.
V = 118.4 Å³/f.u.
ΔE_f = -4.770 eV per formula unit

Geometry as extended XYZ:
```
6
Lattice="-3.329 1.116 -2.584 1.875 -3.912 -0.428 -4.626 -2.741 4.776" Properties=species:S:1:pos:R:3 pbc="T T T"
Ge -4.807 -2.463 1.451
Ge -1.273 -3.073 0.312
Pt -2.940 -4.061 2.033
Pt -3.139 -1.475 -0.270
Sr 0.000 0.000 0.000
Li -2.313 -1.370 2.388
```

=====

Entry 6:
VASP calculation (PBE) on crystalline SrLiGePt2 at its relaxed geometry.

Properties
DOS at the Fermi energy = 0.4959 states/eV per atom
Size of the total moment = 0.0 μB/f.u.
V = 99.4 Å³/f.u.
ΔE_f = -3.920 eV per formula unit

Geometry as extended XYZ:
```
5
Lattice="-3.958 1.194 1.144 -1.629 -3.325 -2.167 3.152 -2.000 4.947" Properties=species:S:1:pos:R:3 pbc="T T T"
Pt 0.269 -2.301 3.329
Pt -2.704 -1.830 0.595
Sr 0.000 0.000 0.000
Ge -0.635 -3.195 1.134
Li -1.800 -0.936 2.790
```

=====

Q: Among the records above, which one has the highest V?
A: LiSm2GePt6

=====

What did the fifth record say?
VASP calculation (PBE) on crystalline SrLiGe2Pt2 at its relaxed geometry.

Properties
DOS at the Fermi energy = 0.4779 states/eV per atom
Size of the total moment = 0.0 μB/f.u.
V = 118.4 Å³/f.u.
ΔE_f = -4.770 eV per formula unit

Geometry as extended XYZ:
```
6
Lattice="-3.329 1.116 -2.584 1.875 -3.912 -0.428 -4.626 -2.741 4.776" Properties=species:S:1:pos:R:3 pbc="T T T"
Ge -4.807 -2.463 1.451
Ge -1.273 -3.073 0.312
Pt -2.940 -4.061 2.033
Pt -3.139 -1.475 -0.270
Sr 0.000 0.000 0.000
Li -2.313 -1.370 2.388
```

=====

Q: Look up the DOS at the Fermi energy of the sixth one.
A: 0.4959 states/eV per atom

=====

Q: Which value of DOS at the Fermi energy does entry 4 give?
A: 0.5044 states/eV per atom